1.
Material: Hg3WO
Method: DFT, PBE+U
State: relaxed

Summary:
* calculated volume: 36.7 Å³ per atom
* energy above the most stable polymorph in this dataset: 0.237 eV per atom
* total magnetic moment: 5.831 Bohr magnetons per cell

Cell lengths 5.6833, 5.6833, 5.6833 Å; angles 90.00, 90.00, 90.00 degrees
Fractional positions:
O 0.5000 0.5000 0.5000
W 0.0000 0.0000 0.0000
Hg 0.5000 0.0000 0.0000
Hg 0.0000 0.0000 0.5000
Hg 0.0000 0.5000 0.0000

***

2.
Material: Fe3O2F4
Method: DFT, PBE+U
State: relaxed

Summary:
* calculated volume: 12.0 Å³ per atom
* energy above the most stable polymorph in this dataset: 0.038 eV per atom
* total magnetic moment: 28.000 Bohr magnetons per cell

Cell lengths 9.5393, 4.7381, 4.7762 Å; angles 90.40, 90.00, 90.00 degrees
Fractional positions:
O 0.3231 0.8077 0.1953
F 0.0000 0.8015 0.1944
Fe 0.1768 0.9668 0.9921
Fe 0.6761 0.5309 0.4919
O 0.1582 0.6899 0.6960
Fe 0.3239 0.5309 0.4919
O 0.8418 0.6899 0.6960
Fe 0.8232 0.9668 0.9921
F 0.1520 0.2970 0.2936
F 0.8480 0.2970 0.2936
F 0.0000 0.1836 0.8089
F 0.5000 0.6969 0.6964
F 0.3230 0.2052 0.7935
F 0.5000 0.3203 0.3156
F 0.6770 0.2052 0.7935
Fe 0.5000 0.9887 0.0284
O 0.6769 0.8077 0.1953
Fe 0.0000 0.5141 0.5310

***

Among the records above, which one has the highest calculated volume?
Hg3WO